A geometry-optimized KAcCd2 structure, computed with PBE-GGA.

**Energy relative to the lowest polymorph listed for this composition**: 5.4 kJ per mole of atoms
**Final energy**: -1.82 eV per atom
**Size of the total moment**: 0.0 μB per formula unit

a b c (Å): 8.1879 8.1879 8.1879
angles (deg): 90.00 90.00 90.00
Space group Fm-3m (No. 225)
One atom of each set of equivalent atoms:
K (0.0000, 0.0000, 0.0000) x4
Ac (0.0000, 0.0000, 0.5000) x4
Cd (0.2500, 0.2500, 0.2500) x8



A geometry-optimized PmPrOs structure, computed with PBE-GGA.

**Energy relative to the lowest polymorph listed for this composition**: 2.5 kJ per mole of atoms
**Final energy**: -6.94 eV per atom
**Size of the total moment**: 0.0 μB per formula unit

a b c (Å): 3.4927 3.4927 13.9772
angles (deg): 90.00 90.00 90.00
Space group I4mm (No. 107)
One atom of each set of equivalent atoms:
Pm (0.0000, 0.0000, 0.0000) x2
Pr (0.0000, 0.0000, 0.7543) x2
Os (0.0000, 0.0000, 0.3797) x2



A geometry-optimized Sc2Pb2Se structure, computed with PBE-GGA.

**Final energy**: -5.38 eV per atom
**Size of the total moment**: 0.0 μB per formula unit
**Formation energy (no corrections)**: -668 meV per atom

a b c (Å): 7.2049 7.2049 4.7659
angles (deg): 90.00 90.00 90.00
Space group P4/mbm (No. 127)
One atom of each set of equivalent atoms:
Sc (0.1653, 0.3347, 0.0000) x4
Pb (0.1515, 0.6515, 0.5000) x4
Se (0.0000, 0.0000, 0.0000) x2



A geometry-optimized BaInBi3 structure, computed with PBE-GGA.

**Energy relative to the lowest polymorph listed for this composition**: 29.6 kJ per mole of atoms
**Final energy**: -3.27 eV per atom
**Size of the total moment**: 0.0 μB per formula unit

a b c (Å): 5.8503 5.8503 5.8503
angles (deg): 90.00 90.00 90.00
Space group Pm-3m (No. 221)
One atom of each set of equivalent atoms:
Ba (0.0000, 0.0000, 0.0000) x1
In (0.5000, 0.5000, 0.5000) x1
Bi (0.0000, 0.5000, 0.5000) x3



A geometry-optimized Tl2ReAg structure, computed with PBE-GGA.

**Energy relative to the lowest polymorph listed for this composition**: 18.3 kJ per mole of atoms
**Final energy**: -4.08 eV per atom
**Size of the total moment**: 1.2 μB per formula unit

a b c (Å): 4.0811 4.0811 9.7666
angles (deg): 90.00 90.00 90.00
Space group I-4m2 (No. 119)
One atom of each set of equivalent atoms:
Tl (0.0000, 0.0000, 0.0000) x2
Tl (0.0000, 0.5000, 0.2500) x2
Re (0.0000, 0.0000, 0.5000) x2
Ag (0.0000, 0.5000, 0.7500) x2



A geometry-optimized Ag2PtW structure, computed with PBE-GGA.

**Energy relative to the lowest polymorph listed for this composition**: 43.4 kJ per mole of atoms
**Final energy**: -5.61 eV per atom
**Size of the total moment**: 0.0 μB per formula unit

a b c (Å): 3.7922 3.7922 4.7216
angles (deg): 90.00 90.00 90.00
Space group P4/mmm (No. 123)
One atom of each set of equivalent atoms:
Ag (0.0000, 0.5000, 0.0000) x2
Pt (0.0000, 0.0000, 0.5000) x1
W (0.5000, 0.5000, 0.5000) x1



A geometry-optimized PmSmSnSb structure, computed with PBE-GGA.

**Final energy**: -5.07 eV per atom
**Size of the total moment**: 0.0 μB per formula unit
**Formation energy (no corrections)**: -672 meV per atom

a b c (Å): 7.7390 7.7390 7.7390
angles (deg): 90.00 90.00 90.00
Space group F-43m (No. 216)
One atom of each set of equivalent atoms:
Pm (0.0000, 0.0000, 0.0000) x4
Sm (0.0000, 0.0000, 0.5000) x4
Sn (0.2500, 0.2500, 0.7500) x4
Sb (0.2500, 0.2500, 0.2500) x4



A geometry-optimized Ca2TeSe structure, computed with PBE-GGA.

**Energy relative to the lowest polymorph listed for this composition**: 30.9 kJ per mole of atoms
**Final energy**: -4.16 eV per atom
**Size of the total moment**: 0.0 μB per formula unit
**Formation energy (no corrections)**: -1502 meV per atom

a b c (Å): 4.6839 6.3052 7.8343
angles (deg): 90.00 90.00 90.00
Space group Immm (No. 71)
One atom of each set of equivalent atoms:
Ca (0.0000, 0.0000, 0.2321) x4
Te (0.0000, 0.5000, 0.0000) x2
Se (0.0000, 0.5000, 0.5000) x2



A geometry-optimized CsYB2H8 structure, computed with PBE-GGA.

**Final energy**: -4.22 eV per atom
**Size of the total moment**: 0.0 μB per formula unit

a b c (Å): 4.1264 4.1264 25.9747
angles (deg): 90.00 90.00 120.00
Space group R-3m (No. 166, hexagonal axes)
One atom of each set of equivalent atoms:
Cs (0.0000, 0.0000, 0.0000) x3
Y (0.0000, 0.0000, 0.5000) x3
B (0.0000, 0.0000, 0.2317) x6
H (0.0000, 0.0000, 0.2788) x6
H (0.0042, 0.5021, 0.4513) x18



A geometry-optimized La3TlCu2 structure, computed with PBE-GGA.

**Final energy**: -4.44 eV per atom
**Size of the total moment**: 0.5 μB per formula unit

a b c (Å): 3.6995 3.6995 11.7661
angles (deg): 90.00 90.00 90.00
Space group P4/mmm (No. 123)
One atom of each set of equivalent atoms:
La (0.0000, 0.0000, 0.0000) x1
La (0.0000, 0.0000, 0.3074) x2
Tl (0.5000, 0.5000, 0.5000) x1
Cu (0.5000, 0.5000, 0.1524) x2



A geometry-optimized Re3GeW structure, computed with PBE-GGA.

**Energy relative to the lowest polymorph listed for this composition**: 53.0 kJ per mole of atoms
**Final energy**: -8.68 eV per atom
**Size of the total moment**: 2.2 μB per formula unit

a b c (Å): 4.7718 4.7718 4.7718
angles (deg): 90.00 90.00 90.00
Space group Pm-3m (No. 221)
One atom of each set of equivalent atoms:
Re (0.0000, 0.0000, 0.5000) x3
Ge (0.5000, 0.5000, 0.5000) x1
W (0.0000, 0.0000, 0.0000) x1



A geometry-optimized KBaEu2 structure, computed with PBE-GGA.

**Energy relative to the lowest polymorph listed for this composition**: 5.7 kJ per mole of atoms
**Final energy**: -5.71 eV per atom
**Size of the total moment**: 15.3 μB per formula unit

a b c (Å): 6.9350 6.9350 4.5979
angles (deg): 90.00 90.00 90.00
Space group P4/mmm (No. 123)
One atom of each set of equivalent atoms:
K (0.0000, 0.0000, 0.0000) x1
Ba (0.5000, 0.5000, 0.0000) x1
Eu (0.0000, 0.5000, 0.5000) x2